Computed, not measured: a relaxed structure of SmInNi at the PBE level of DFT.

Lattice parameters (Å, degrees): 7.4268 7.4268 3.9699 90.00 90.00 120.00
Last column: nearest neighbours and their distance in Å.
Element x y z (fractional)
Sm 0.0000 0.5873 0.0000  5 Ni 2.99-3.06, 6 In 3.20-3.33
Sm 0.4127 0.4127 0.0000  5 Ni 2.99-3.06, 6 In 3.20-3.33
Sm 0.5873 0.0000 0.0000  5 Ni 2.99-3.06, 6 In 3.20-3.33
In 0.0000 0.2486 0.5000  4 Ni 2.71-2.84
In 0.2486 0.0000 0.5000  4 Ni 2.71-2.84
In 0.7514 0.7514 0.5000  4 Ni 2.71-2.84
Ni 0.0000 0.0000 0.0000  6 In 2.71
Ni 0.3333 0.6667 0.5000  3 In 2.84, 6 Sm 2.99
Ni 0.6667 0.3333 0.5000  3 In 2.84, 6 Sm 2.99

Output
The value obtained for the total energy is -43.43 eV for the cell shown. The volume is 21.1 Å³/atom.

Computed, not measured: a relaxed structure of PrTlCd at the PBE level of DFT.

Lattice parameters (Å, degrees): 7.3574 7.3574 7.3574 90.00 90.00 90.00
Last column: nearest neighbours and their distance in Å.
Element x y z (fractional)
Pr 0.0000 0.0000 0.0000  4 Cd 3.19, 4 Tl 3.19
Pr 0.0000 0.5000 0.5000  4 Cd 3.19, 4 Tl 3.19
Pr 0.5000 0.0000 0.5000  4 Cd 3.19, 4 Tl 3.19
Pr 0.5000 0.5000 0.0000  4 Cd 3.19, 4 Tl 3.19
Tl 0.2500 0.2500 0.2500  4 Pr 3.19
Tl 0.2500 0.7500 0.7500  4 Pr 3.19
Tl 0.7500 0.2500 0.7500  4 Pr 3.19
Tl 0.7500 0.7500 0.2500  4 Pr 3.19
Cd 0.2500 0.2500 0.7500  4 Pr 3.19
Cd 0.2500 0.7500 0.2500  4 Pr 3.19
Cd 0.7500 0.2500 0.2500  4 Pr 3.19
Cd 0.7500 0.7500 0.7500  4 Pr 3.19

Output
The value obtained for the total energy is -31.93 eV for the cell shown. The volume is 33.2 Å³/atom.

Computed, not measured: a relaxed structure of DyThSn at the PBE level of DFT.

Lattice parameters (Å, degrees): 7.3491 7.3491 7.3491 90.00 90.00 90.00
Last column: nearest neighbours and their distance in Å.
Element x y z (fractional)
Dy 0.0000 0.0000 0.0000  4 Sn 3.18
Dy 0.0000 0.5000 0.5000  4 Sn 3.18
Dy 0.5000 0.0000 0.5000  4 Sn 3.18
Dy 0.5000 0.5000 0.0000  4 Sn 3.18
Th 0.0000 0.0000 0.5000  4 Sn 3.18
Th 0.0000 0.5000 0.0000  4 Sn 3.18
Th 0.5000 0.0000 0.0000  4 Sn 3.18
Th 0.5000 0.5000 0.5000  4 Sn 3.18
Sn 0.2500 0.2500 0.2500  4 Th 3.18, 4 Dy 3.18
Sn 0.2500 0.7500 0.7500  4 Th 3.18, 4 Dy 3.18
Sn 0.7500 0.2500 0.7500  4 Th 3.18, 4 Dy 3.18
Sn 0.7500 0.7500 0.2500  4 Th 3.18, 4 Dy 3.18

Output
The value obtained for the total energy is -66.35 eV for the cell shown. The calculation puts the offset from the most stable computed form at 0.0 meV per atom. The volume is 33.1 Å³/atom.